Entry 1:
# AcSmPd10 (GGA-PBE, optimized geometry)
# - formation enthalpy at 0 K (eV per atom) = -0.55
# - size of the total moment (μB/cell) = 0.0
data_AcSmPd10
_cell_length_a 4.509
_cell_length_b 5.392
_cell_length_c 9.357
_cell_angle_alpha 90.00
_cell_angle_beta 90.00
_cell_angle_gamma 90.00
_space_group_name_H-M_alt 'P m m m'
_space_group_IT_number 47
_space_group_name_Hall '-P 2 2'
loop_
_atom_site_label
_atom_site_type_symbol
_atom_site_fract_x
_atom_site_fract_y
_atom_site_fract_z
Ac1 Ac 0.000 0.000 0.000
Sm1 Sm 0.000 0.500 0.500
Pd1 Pd 0.000 0.000 0.340
Pd2 Pd 0.000 0.500 0.175
Pd3 Pd 0.500 0.000 0.500
Pd4 Pd 0.500 0.251 0.253
Pd5 Pd 0.500 0.500 0.000

Entry 2:
# AcSmPd6 (GGA-PBE, optimized geometry)
# - formation enthalpy at 0 K (eV per atom) = -0.76
# - size of the total moment (μB/cell) = 0.0
data_AcSmPd6
_cell_length_a 4.254
_cell_length_b 4.254
_cell_length_c 8.461
_cell_angle_alpha 90.00
_cell_angle_beta 90.00
_cell_angle_gamma 90.00
_space_group_name_H-M_alt 'P 4/m m m'
_space_group_IT_number 123
_space_group_name_Hall '-P 4 2'
loop_
_atom_site_label
_atom_site_type_symbol
_atom_site_fract_x
_atom_site_fract_y
_atom_site_fract_z
Ac1 Ac 0.000 0.000 0.000
Sm1 Sm 0.000 0.000 0.500
Pd1 Pd 0.000 0.500 0.259
Pd2 Pd 0.500 0.500 0.000
Pd3 Pd 0.500 0.500 0.500

Entry 3:
# Ac2SmPd9 (GGA-PBE, optimized geometry)
# - formation enthalpy at 0 K (eV per atom) = -0.75
# - size of the total moment (μB/cell) = 0.0
# - E above lowest polymorph (kcal/mol of atoms) = 0.00
data_Ac2SmPd9
_cell_length_a 4.277
_cell_length_b 4.277
_cell_length_c 12.769
_cell_angle_alpha 90.00
_cell_angle_beta 90.00
_cell_angle_gamma 90.00
_space_group_name_H-M_alt 'P 4/m m m'
_space_group_IT_number 123
_space_group_name_Hall '-P 4 2'
loop_
_atom_site_label
_atom_site_type_symbol
_atom_site_fract_x
_atom_site_fract_y
_atom_site_fract_z
Ac1 Ac 0.000 0.000 0.171
Sm1 Sm 0.000 0.000 0.500
Pd1 Pd 0.000 0.500 0.000
Pd2 Pd 0.000 0.500 0.341
Pd3 Pd 0.500 0.500 0.171
Pd4 Pd 0.500 0.500 0.500

Entry 4:
# AcSm2Pd (GGA-PBE, optimized geometry)
# - formation enthalpy at 0 K (eV per atom) = -0.40
# - size of the total moment (μB/cell) = 0.0
# - E above lowest polymorph (kcal/mol of atoms) = 0.31
data_AcSm2Pd
_cell_length_a 3.967
_cell_length_b 10.156
_cell_length_c 6.535
_cell_angle_alpha 90.00
_cell_angle_beta 107.66
_cell_angle_gamma 90.00
_space_group_name_H-M_alt 'P 1 21/m 1'
_space_group_IT_number 11
_space_group_name_Hall '-P 2yb'
loop_
_atom_site_label
_atom_site_type_symbol
_atom_site_fract_x
_atom_site_fract_y
_atom_site_fract_z
Ac1 Ac 0.076 0.250 0.150
Sm1 Sm 0.361 0.062 0.721
Pd1 Pd 0.225 0.750 0.451

Entry 5:
# AcSm2Pd (GGA-PBE, optimized geometry)
# - formation enthalpy at 0 K (eV per atom) = -0.29
# - size of the total moment (μB/cell) = 0.0
# - E above lowest polymorph (kcal/mol of atoms) = 2.96
data_AcSm2Pd
_cell_length_a 3.9978
_cell_length_b 3.9978
_cell_length_c 29.2559
_cell_angle_alpha 90.00
_cell_angle_beta 90.00
_cell_angle_gamma 120.00
_space_group_name_H-M_alt 'R -3 m'
_space_group_IT_number 166
_space_group_name_Hall '-R 3 2"'
loop_
_atom_site_label
_atom_site_type_symbol
_atom_site_fract_x
_atom_site_fract_y
_atom_site_fract_z
Ac1 Ac 0.0000 0.0000 0.0000
Sm1 Sm 0.0000 0.0000 0.2256
Pd1 Pd 0.0000 0.0000 0.5000

Entry 6:
# AcSmPd3 (GGA-PBE, optimized geometry)
# - formation enthalpy at 0 K (eV per atom) = -0.82
# - size of the total moment (μB/cell) = 0.0
data_AcSmPd3
_cell_length_a 4.016
_cell_length_b 27.363
_cell_length_c 4.435
_cell_angle_alpha 90.00
_cell_angle_beta 90.00
_cell_angle_gamma 90.00
_space_group_name_H-M_alt 'C m c m'
_space_group_IT_number 63
_space_group_name_Hall '-C 2c 2'
loop_
_atom_site_label
_atom_site_type_symbol
_atom_site_fract_x
_atom_site_fract_y
_atom_site_fract_z
Ac1 Ac 0.000 0.073 0.250
Sm1 Sm 0.000 0.205 0.750
Pd1 Pd 0.000 0.313 0.750
Pd2 Pd 0.000 0.374 0.250
Pd3 Pd 0.000 0.472 0.250

Entry 7:
# Ac6SmPd4 (GGA-PBE, optimized geometry)
# - formation enthalpy at 0 K (eV per atom) = -0.46
# - size of the total moment (μB/cell) = 0.0
data_Ac6SmPd4
_cell_length_a 8.583
_cell_length_b 9.567
_cell_length_c 9.807
_cell_angle_alpha 90.00
_cell_angle_beta 115.37
_cell_angle_gamma 90.00
_space_group_name_H-M_alt 'C 1 m 1'
_space_group_IT_number 8
_space_group_name_Hall 'C -2y'
loop_
_atom_site_label
_atom_site_type_symbol
_atom_site_fract_x
_atom_site_fract_y
_atom_site_fract_z
Ac1 Ac 0.000 0.000 0.000
Ac2 Ac 0.013 0.500 0.988
Ac3 Ac 0.328 0.264 0.659
Ac4 Ac 0.400 0.228 0.282
Sm1 Sm 0.057 0.000 0.584
Pd1 Pd 0.171 0.000 0.345
Pd2 Pd 0.197 0.500 0.342
Pd3 Pd 0.219 0.236 0.926

Entry 8:
# AcSmSnPd (GGA-PBE, optimized geometry)
# - formation enthalpy at 0 K (eV per atom) = -0.63
# - size of the total moment (μB/cell) = 0.0
data_AcSmSnPd
_cell_length_a 7.718
_cell_length_b 7.718
_cell_length_c 7.718
_cell_angle_alpha 90.00
_cell_angle_beta 90.00
_cell_angle_gamma 90.00
_space_group_name_H-M_alt 'F -4 3 m'
_space_group_IT_number 216
_space_group_name_Hall 'F -4 2 3'
loop_
_atom_site_label
_atom_site_type_symbol
_atom_site_fract_x
_atom_site_fract_y
_atom_site_fract_z
Ac1 Ac 0.000 0.000 0.000
Sm1 Sm 0.000 0.000 0.500
Sn1 Sn 0.250 0.250 0.250
Pd1 Pd 0.250 0.250 0.750

Entry 9:
# Ac2SmSn4Pd3 (GGA-PBE, optimized geometry)
# - formation enthalpy at 0 K (eV per atom) = -0.76
# - size of the total moment (μB/cell) = 0.0
data_Ac2SmSn4Pd3
_cell_length_a 4.605
_cell_length_b 4.605
_cell_length_c 12.400
_cell_angle_alpha 90.00
_cell_angle_beta 90.00
_cell_angle_gamma 90.00
_space_group_name_H-M_alt 'P -4 m 2'
_space_group_IT_number 115
_space_group_name_Hall 'P -4 -2'
loop_
_atom_site_label
_atom_site_type_symbol
_atom_site_fract_x
_atom_site_fract_y
_atom_site_fract_z
Ac1 Ac 0.000 0.500 0.229
Sm1 Sm 0.000 0.000 0.500
Sn1 Sn 0.000 0.000 0.000
Sn2 Sn 0.000 0.500 0.661
Sn3 Sn 0.500 0.500 0.000
Pd1 Pd 0.000 0.500 0.878
Pd2 Pd 0.500 0.500 0.500

Entry 10:
# Ac2SmSn3Pd4 (GGA-PBE, optimized geometry)
# - formation enthalpy at 0 K (eV per atom) = -0.83
# - size of the total moment (μB/cell) = 0.0
data_Ac2SmSn3Pd4
_cell_length_a 4.712
_cell_length_b 4.712
_cell_length_c 11.257
_cell_angle_alpha 90.00
_cell_angle_beta 90.00
_cell_angle_gamma 90.00
_space_group_name_H-M_alt 'P -4 m 2'
_space_group_IT_number 115
_space_group_name_Hall 'P -4 -2'
loop_
_atom_site_label
_atom_site_type_symbol
_atom_site_fract_x
_atom_site_fract_y
_atom_site_fract_z
Ac1 Ac 0.000 0.500 0.227
Sm1 Sm 0.000 0.000 0.500
Sn1 Sn 0.000 0.500 0.881
Sn2 Sn 0.500 0.500 0.500
Pd1 Pd 0.000 0.000 0.000
Pd2 Pd 0.000 0.500 0.646
Pd3 Pd 0.500 0.500 0.000

Entry 11:
# AcSmTlPd (GGA-PBE, optimized geometry)
# - formation enthalpy at 0 K (eV per atom) = -0.44
# - size of the total moment (μB/cell) = 0.0
data_AcSmTlPd
_cell_length_a 7.731
_cell_length_b 7.731
_cell_length_c 7.731
_cell_angle_alpha 90.00
_cell_angle_beta 90.00
_cell_angle_gamma 90.00
_space_group_name_H-M_alt 'F -4 3 m'
_space_group_IT_number 216
_space_group_name_Hall 'F -4 2 3'
loop_
_atom_site_label
_atom_site_type_symbol
_atom_site_fract_x
_atom_site_fract_y
_atom_site_fract_z
Ac1 Ac 0.000 0.000 0.000
Sm1 Sm 0.000 0.000 0.500
Tl1 Tl 0.250 0.250 0.250
Pd1 Pd 0.250 0.250 0.750

Entry 12:
# AcSmZnPd (GGA-PBE, optimized geometry)
# - formation enthalpy at 0 K (eV per atom) = -0.46
# - size of the total moment (μB/cell) = 0.0
# - E above lowest polymorph (kcal/mol of atoms) = 0.96
data_AcSmZnPd
_cell_length_a 7.486
_cell_length_b 7.486
_cell_length_c 7.486
_cell_angle_alpha 90.00
_cell_angle_beta 90.00
_cell_angle_gamma 90.00
_space_group_name_H-M_alt 'F -4 3 m'
_space_group_IT_number 216
_space_group_name_Hall 'F -4 2 3'
loop_
_atom_site_label
_atom_site_type_symbol
_atom_site_fract_x
_atom_site_fract_y
_atom_site_fract_z
Ac1 Ac 0.000 0.000 0.000
Sm1 Sm 0.000 0.000 0.500
Zn1 Zn 0.250 0.250 0.250
Pd1 Pd 0.250 0.250 0.750

Entry 13:
# AcSmZn2Pd2 (GGA-PBE, optimized geometry)
# - formation enthalpy at 0 K (eV per atom) = -0.68
# - size of the total moment (μB/cell) = 0.0
data_AcSmZn2Pd2
_cell_length_a 4.5494
_cell_length_b 4.5494
_cell_length_c 7.6124
_cell_angle_alpha 90.00
_cell_angle_beta 90.00
_cell_angle_gamma 120.00
_space_group_name_H-M_alt 'P -3 m 1'
_space_group_IT_number 164
_space_group_name_Hall '-P 3 2"'
loop_
_atom_site_label
_atom_site_type_symbol
_atom_site_fract_x
_atom_site_fract_y
_atom_site_fract_z
Ac1 Ac 0.0000 0.0000 0.0000
Sm1 Sm 0.0000 0.0000 0.5000
Zn1 Zn 0.3333 0.6667 0.2824
Pd1 Pd 0.3333 0.6667 0.7237

Entry 14:
# AcSmZnPd (GGA-PBE, optimized geometry)
# - formation enthalpy at 0 K (eV per atom) = -0.51
# - size of the total moment (μB/cell) = 0.0
# - E above lowest polymorph (kcal/mol of atoms) = 0.00
data_AcSmZnPd
_cell_length_a 4.642
_cell_length_b 4.177
_cell_length_c 11.130
_cell_angle_alpha 90.00
_cell_angle_beta 90.00
_cell_angle_gamma 90.00
_space_group_name_H-M_alt 'A m m 2'
_space_group_IT_number 38
_space_group_name_Hall 'A 2 -2'
loop_
_atom_site_label
_atom_site_type_symbol
_atom_site_fract_x
_atom_site_fract_y
_atom_site_fract_z
Ac1 Ac 0.000 0.000 0.000
Sm1 Sm 0.500 0.000 0.716
Zn1 Zn 0.500 0.000 0.420
Pd1 Pd 0.000 0.000 0.282

Entry 15:
# Ac2SmZn3Pd4 (GGA-PBE, optimized geometry)
# - formation enthalpy at 0 K (eV per atom) = -0.65
# - size of the total moment (μB/cell) = 0.0
data_Ac2SmZn3Pd4
_cell_length_a 4.474
_cell_length_b 4.474
_cell_length_c 11.278
_cell_angle_alpha 90.00
_cell_angle_beta 90.00
_cell_angle_gamma 90.00
_space_group_name_H-M_alt 'P -4 m 2'
_space_group_IT_number 115
_space_group_name_Hall 'P -4 -2'
loop_
_atom_site_label
_atom_site_type_symbol
_atom_site_fract_x
_atom_site_fract_y
_atom_site_fract_z
Ac1 Ac 0.000 0.500 0.220
Sm1 Sm 0.000 0.000 0.500
Zn1 Zn 0.000 0.500 0.887
Zn2 Zn 0.500 0.500 0.500
Pd1 Pd 0.000 0.000 0.000
Pd2 Pd 0.000 0.500 0.659
Pd3 Pd 0.500 0.500 0.000

Entry 16:
# AcSn4Pd15 (GGA-PBE, optimized geometry)
# - formation enthalpy at 0 K (eV per atom) = -0.53
# - size of the total moment (μB/cell) = 0.0
data_AcSn4Pd15
_cell_length_a 4.113
_cell_length_b 4.113
_cell_length_c 20.346
_cell_angle_alpha 90.00
_cell_angle_beta 90.00
_cell_angle_gamma 90.00
_space_group_name_H-M_alt 'P 4/m m m'
_space_group_IT_number 123
_space_group_name_Hall '-P 4 2'
loop_
_atom_site_label
_atom_site_type_symbol
_atom_site_fract_x
_atom_site_fract_y
_atom_site_fract_z
Ac1 Ac 0.000 0.000 0.000
Sn1 Sn 0.000 0.000 0.208
Sn2 Sn 0.000 0.000 0.403
Pd1 Pd 0.000 0.500 0.112
Pd2 Pd 0.000 0.500 0.305
Pd3 Pd 0.000 0.500 0.500
Pd4 Pd 0.500 0.500 0.000
Pd5 Pd 0.500 0.500 0.209
Pd6 Pd 0.500 0.500 0.403

Entry 17:
# Ac3SnPd12 (GGA-PBE, optimized geometry)
# - formation enthalpy at 0 K (eV per atom) = -0.66
# - size of the total moment (μB/cell) = 0.0
data_Ac3SnPd12
_cell_length_a 4.279
_cell_length_b 4.279
_cell_length_c 16.775
_cell_angle_alpha 90.00
_cell_angle_beta 90.00
_cell_angle_gamma 90.00
_space_group_name_H-M_alt 'P 4/m m m'
_space_group_IT_number 123
_space_group_name_Hall '-P 4 2'
loop_
_atom_site_label
_atom_site_type_symbol
_atom_site_fract_x
_atom_site_fract_y
_atom_site_fract_z
Ac1 Ac 0.000 0.000 0.000
Ac2 Ac 0.000 0.000 0.258
Sn1 Sn 0.000 0.000 0.500
Pd1 Pd 0.000 0.500 0.130
Pd2 Pd 0.000 0.500 0.391
Pd3 Pd 0.500 0.500 0.000
Pd4 Pd 0.500 0.500 0.262
Pd5 Pd 0.500 0.500 0.500

Entry 18:
# Ac8Sn2Pd (GGA-PBE, optimized geometry)
# - formation enthalpy at 0 K (eV per atom) = -0.37
# - size of the total moment (μB/cell) = 0.0
data_Ac8Sn2Pd
_cell_length_a 20.319
_cell_length_b 5.012
_cell_length_c 8.532
_cell_angle_alpha 90.00
_cell_angle_beta 97.88
_cell_angle_gamma 90.00
_space_group_name_H-M_alt 'C 1 2/m 1'
_space_group_IT_number 12
_space_group_name_Hall '-C 2y'
loop_
_atom_site_label
_atom_site_type_symbol
_atom_site_fract_x
_atom_site_fract_y
_atom_site_fract_z
Ac1 Ac 0.004 0.000 0.280
Ac2 Ac 0.098 0.500 0.020
Ac3 Ac 0.150 0.500 0.516
Ac4 Ac 0.212 0.000 0.851
Sn1 Sn 0.184 0.000 0.261
Pd1 Pd 0.000 0.500 0.500

Entry 19:
# AcSn2Pd (GGA-PBE, optimized geometry)
# - formation enthalpy at 0 K (eV per atom) = -0.48
# - size of the total moment (μB/cell) = 0.0
# - E above lowest polymorph (kcal/mol of atoms) = 7.05
data_AcSn2Pd
_cell_length_a 4.613
_cell_length_b 4.613
_cell_length_c 5.008
_cell_angle_alpha 90.00
_cell_angle_beta 90.00
_cell_angle_gamma 90.00
_space_group_name_H-M_alt 'P 4/m m m'
_space_group_IT_number 123
_space_group_name_Hall '-P 4 2'
loop_
_atom_site_label
_atom_site_type_symbol
_atom_site_fract_x
_atom_site_fract_y
_atom_site_fract_z
Ac1 Ac 0.000 0.000 0.000
Sn1 Sn 0.000 0.500 0.500
Pd1 Pd 0.500 0.500 0.000

Entry 20:
# Ac3Sn2Pd (GGA-PBE, optimized geometry)
# - formation enthalpy at 0 K (eV per atom) = -0.55
# - size of the total moment (μB/cell) = 0.0
# - E above lowest polymorph (kcal/mol of atoms) = 5.07
data_Ac3Sn2Pd
_cell_length_a 15.061
_cell_length_b 6.690
_cell_length_c 9.207
_cell_angle_alpha 90.00
_cell_angle_beta 107.78
_cell_angle_gamma 90.00
_space_group_name_H-M_alt 'C 1 2/c 1'
_space_group_IT_number 15
_space_group_name_Hall '-C 2yc'
loop_
_atom_site_label
_atom_site_type_symbol
_atom_site_fract_x
_atom_site_fract_y
_atom_site_fract_z
Ac1 Ac 0.000 0.006 0.250
Ac2 Ac 0.152 0.499 0.576
Sn1 Sn 0.172 0.001 0.086
Pd1 Pd 0.000 0.496 0.750

Entry 21:
# Ac3Sn8Pd3 (GGA-PBE, optimized geometry)
# - formation enthalpy at 0 K (eV per atom) = -0.58
# - size of the total moment (μB/cell) = 0.0
data_Ac3Sn8Pd3
_cell_length_a 17.941
_cell_length_b 4.970
_cell_length_c 10.003
_cell_angle_alpha 90.00
_cell_angle_beta 123.89
_cell_angle_gamma 90.00
_space_group_name_H-M_alt 'C 1 2/m 1'
_space_group_IT_number 12
_space_group_name_Hall '-C 2y'
loop_
_atom_site_label
_atom_site_type_symbol
_atom_site_fract_x
_atom_site_fract_y
_atom_site_fract_z
Ac1 Ac 0.000 0.000 0.000
Ac2 Ac 0.205 0.500 0.703
Sn1 Sn 0.012 0.500 0.694
Sn2 Sn 0.130 0.000 0.423
Sn3 Sn 0.148 0.500 0.272
Sn4 Sn 0.155 0.000 0.878
Pd1 Pd 0.000 0.000 0.500
Pd2 Pd 0.159 0.500 0.013

Entry 22:
# AcSnPd3 (GGA-PBE, optimized geometry)
# - formation enthalpy at 0 K (eV per atom) = -0.55
# - size of the total moment (μB/cell) = 0.0
# - E above lowest polymorph (kcal/mol of atoms) = 1.50
data_AcSnPd3
_cell_length_a 5.756
_cell_length_b 7.721
_cell_length_c 5.390
_cell_angle_alpha 90.00
_cell_angle_beta 90.00
_cell_angle_gamma 90.00
_space_group_name_H-M_alt 'P b a m'
_space_group_IT_number 55
_space_group_name_Hall '-P 2 2ab'
loop_
_atom_site_label
_atom_site_type_symbol
_atom_site_fract_x
_atom_site_fract_y
_atom_site_fract_z
Ac1 Ac 0.000 0.000 0.000
Sn1 Sn 0.000 0.500 0.500
Pd1 Pd 0.000 0.500 0.000
Pd2 Pd 0.097 0.172 0.500

Entry 23:
# Ac4Sn8Pd (GGA-PBE, optimized geometry)
# - formation enthalpy at 0 K (eV per atom) = -0.63
# - size of the total moment (μB/cell) = 0.0
data_Ac4Sn8Pd
_cell_length_a 4.601
_cell_length_b 4.718
_cell_length_c 18.604
_cell_angle_alpha 90.00
_cell_angle_beta 90.00
_cell_angle_gamma 90.00
_space_group_name_H-M_alt 'P m m 2'
_space_group_IT_number 25
_space_group_name_Hall 'P 2 -2'
loop_
_atom_site_label
_atom_site_type_symbol
_atom_site_fract_x
_atom_site_fract_y
_atom_site_fract_z
Ac1 Ac 0.000 0.000 0.000
Ac2 Ac 0.000 0.500 0.495
Ac3 Ac 0.500 0.000 0.787
Ac4 Ac 0.500 0.500 0.288
Sn1 Sn 0.000 0.000 0.337
Sn2 Sn 0.000 0.000 0.631
Sn3 Sn 0.000 0.500 0.140
Sn4 Sn 0.000 0.500 0.852
Sn5 Sn 0.500 0.000 0.148
Sn6 Sn 0.500 0.000 0.440
Sn7 Sn 0.500 0.500 0.632
Sn8 Sn 0.500 0.500 0.952
Pd1 Pd 0.000 0.500 0.708

no.,calculated volume (Å³/cell)
1,227.5
2,153.1
3,233.6
4,250.9
5,404.9
6,487.4
7,727.6
8,459.7
9,263.0
10,250.0
11,462.0
12,419.5
13,136.4
14,215.8
15,225.8
16,344.3
17,307.1
18,860.6
19,106.6
20,883.4
21,740.5
22,239.6
23,403.8